A relaxed structure of BaSe3I, computed with GGA-PBE.

abc: 5.4843 5.4843 5.4843
angles: 90.00 90.00 90.00
Last column: nearest neighbours and their distance in Å.
Atoms (fractional coordinates):
1 Se 0.5000 0.0000 0.0000  2 I 2.74
2 I 0.0000 0.0000 0.0000  6 Se 2.74
3 Se 0.0000 0.5000 0.0000  2 I 2.74
4 Se 0.0000 0.0000 0.5000  2 I 2.74
5 Ba 0.5000 0.5000 0.5000  12 Se 3.88

Computed properties:
space-group type	Pm-3m, No. 221
E above lowest polymorph	0.0	meV/atom
uncorrected formation energy	-2.1	eV per formula unit
total magnetization	0.00	μB/f.u.

A relaxed structure of LiAcEu2, computed with GGA-PBE.

abc: 3.9697 3.9697 9.5676
angles: 90.00 90.00 90.00
Last column: nearest neighbours and their distance in Å.
Atoms (fractional coordinates):
1 Eu 0.0000 0.0000 0.7891  4 Li 3.46
2 Eu 0.0000 0.0000 0.2109  4 Li 3.46
3 Ac 0.5000 0.5000 0.5000  8 Eu 3.94, 4 Ac 3.97
4 Li 0.5000 0.5000 0.0000  8 Eu 3.46

Computed properties:
space-group type	P4/mmm, No. 123
E above lowest polymorph	0.0	meV/atom
total magnetization	15.01	μB/f.u.
E_form	4.54	kJ per mole of atoms

A relaxed structure of AcY2Ho2, computed with GGA-PBE.

abc: 8.9132 8.9132 11.8324
angles: 91.77 91.77 156.64
Last column: nearest neighbours and their distance in Å.
Atoms (fractional coordinates):
1 Y 0.0785 0.9215 0.5000  4 Y 3.28-3.61, 2 Ho 3.32, 2 Ac 3.50
2 Ho 0.6250 0.3750 0.7500  2 Y 3.32, 2 Ho 3.61, 2 Ac 3.68
3 Ac 0.7500 0.2500 0.5000  4 Y 3.50, 2 Ac 3.61, 4 Ho 3.68
4 Y 0.1715 0.8285 0.0000  4 Y 3.28-3.61, 2 Ho 3.32, 2 Ac 3.50
5 Ho 0.6250 0.8750 0.2500  2 Y 3.32, 2 Ho 3.61, 2 Ac 3.68
6 Y 0.8285 0.1715 0.0000  4 Y 3.28-3.61, 2 Ho 3.32, 2 Ac 3.50
7 Y 0.4215 0.5785 0.5000  4 Y 3.28-3.61, 2 Ho 3.32, 2 Ac 3.50
8 Ac 0.5000 0.5000 0.0000  4 Y 3.50, 2 Ac 3.61, 4 Ho 3.68
9 Ho 0.6250 0.3750 0.2500  2 Y 3.32, 2 Ho 3.61, 2 Ac 3.68
10 Ho 0.1250 0.3750 0.7500  2 Y 3.32, 2 Ho 3.61, 2 Ac 3.68

Computed properties:
space-group type	Fddd, No. 70
E above lowest polymorph	348.8	meV/atom
total magnetization	0.00	μB/f.u.
E_form	42.06	kJ per mole of atoms

A relaxed structure of TbPr7Cd4, computed with GGA-PBE.

abc: 5.9183 9.3045 8.1449
angles: 70.20 68.70 71.46
Last column: nearest neighbours and their distance in Å.
Atoms (fractional coordinates):
1 Pr 0.9307 0.4081 0.7306  3 Cd 3.24-3.29, 3 Pr 3.46-3.60
2 Pr 0.2636 0.6934 0.7795  4 Cd 3.09-3.31
3 Cd 0.5402 0.2867 0.6329  4 Pr 3.09-3.29, 1 Cd 3.10
4 Pr 0.0693 0.5919 0.2694  3 Cd 3.24-3.29, 3 Pr 3.46-3.60
5 Cd 0.6813 0.6565 0.9808  5 Pr 3.07-3.31, 1 Cd 3.10
6 Cd 0.3187 0.3435 0.0192  5 Pr 3.07-3.31, 1 Cd 3.10
7 Tb 0.0000 0.0000 0.0000  2 Pr 2.96
8 Pr 0.2042 0.1161 0.4755  4 Cd 3.54-3.84, 6 Pr 3.56-3.86, 1 Tb 3.85
9 Cd 0.4598 0.7133 0.3671  4 Pr 3.09-3.29, 1 Cd 3.10
10 Pr 0.7364 0.3066 0.2205  4 Cd 3.09-3.31
11 Pr 0.7958 0.8839 0.5245  4 Cd 3.54-3.84, 6 Pr 3.56-3.86, 1 Tb 3.85
12 Pr 0.5000 0.0000 0.0000  2 Tb 2.96, 4 Cd 3.07-3.26

Computed properties:
space-group type	C2/m, No. 12
total magnetization	0.00	μB/f.u.
E_form	-3.18	kJ per mole of atoms

A relaxed structure of SmTmP, computed with GGA-PBE.

abc: 3.9175 3.9175 6.4140
angles: 90.00 90.00 120.00
Last column: nearest neighbours and their distance in Å.
Atoms (fractional coordinates):
1 Tm 0.3333 0.6667 0.5780  3 P 2.72
2 P 0.6667 0.3333 0.3410  3 Tm 2.72, 3 Sm 2.81
3 Sm 0.0000 0.0000 0.0810  3 P 2.81

Computed properties:
space-group type	P3m1, No. 156
total magnetization	0.12	μB/f.u.
E_form	-90.58	kJ per mole of atoms

A relaxed structure of Ac8Pr, computed with GGA-PBE.

abc: 5.6226 8.8666 8.8666
angles: 84.23 71.51 71.51
Last column: nearest neighbours and their distance in Å.
Atoms (fractional coordinates):
1 Ac 0.3353 0.0000 0.3294  10 Ac 3.92-4.02, 2 Pr 3.95
2 Ac 0.6647 0.6706 0.0000  10 Ac 3.92-4.02, 2 Pr 3.95
3 Ac 0.6687 0.3313 0.3313  1 Pr 3.94, 11 Ac 3.96-4.01
4 Ac 0.3313 0.6687 0.6687  1 Pr 3.94, 11 Ac 3.96-4.01
5 Ac 0.3353 0.3294 0.0000  10 Ac 3.92-4.02, 2 Pr 3.95
6 Ac 0.0000 0.6687 0.3313  1 Pr 3.94, 11 Ac 3.96-4.01
7 Pr 0.0000 0.0000 0.0000  12 Ac 3.94-3.95
8 Ac 0.0000 0.3313 0.6687  1 Pr 3.94, 11 Ac 3.96-4.01
9 Ac 0.6647 0.0000 0.6706  10 Ac 3.92-4.02, 2 Pr 3.95

Computed properties:
space-group type	I4/mmm, No. 139
total magnetization	0.00	μB/f.u.
E_form	1.86	kJ per mole of atoms

A relaxed structure of AcSmHgSb, computed with GGA-PBE.

abc: 5.5793 5.5793 5.5793
angles: 60.00 60.00 60.00
Last column: nearest neighbours and their distance in Å.
Atoms (fractional coordinates):
1 Sb 0.0000 0.0000 0.0000  4 Ac 3.42, 4 Sm 3.42
2 Hg 0.5000 0.5000 0.5000  4 Sm 3.42, 4 Ac 3.42
3 Ac 0.2500 0.2500 0.2500  4 Hg 3.42, 4 Sb 3.42
4 Sm 0.7500 0.7500 0.7500  4 Hg 3.42, 4 Sb 3.42

Computed properties:
space-group type	F-43m, No. 216
uncorrected formation energy	-2.5	eV per formula unit
total magnetization	0.00	μB/f.u.

A relaxed structure of NpZnSb2, computed with GGA-PBE.

abc: 3.8960 3.8960 6.3245
angles: 90.00 90.00 90.00
Last column: nearest neighbours and their distance in Å.
Atoms (fractional coordinates):
1 Sb 0.0000 0.0000 0.2401  2 Sb 3.04-3.29, 4 Zn 3.15, 4 Np 3.21
2 Sb 0.0000 0.0000 0.7599  2 Sb 3.04-3.29, 4 Zn 3.15, 4 Np 3.21
3 Zn 0.5000 0.5000 0.0000  8 Sb 3.15, 2 Np 3.16
4 Np 0.5000 0.5000 0.5000  2 Zn 3.16, 8 Sb 3.21

Computed properties:
space-group type	P4/mmm, No. 123
uncorrected formation energy	-0.2	eV per formula unit
total magnetization	4.14	μB/f.u.

A relaxed structure of FeCoSi2, computed with GGA-PBE.

abc: 4.4433 4.4501 4.4515
angles: 89.70 90.00 90.00
Last column: nearest neighbours and their distance in Å.
Atoms (fractional coordinates):
1 Co 0.1386 0.3619 0.1082  7 Si 2.30-2.49
2 Si 0.6591 0.1567 0.0937  3 Fe 2.28-2.47, 4 Co 2.32-2.49
3 Co 0.6386 0.6381 0.8918  7 Si 2.30-2.49
4 Fe 0.8597 0.1397 0.6115  7 Si 2.28-2.47
5 Si 0.8426 0.6574 0.4111  3 Co 2.30-2.49, 4 Fe 2.33-2.47
6 Fe 0.3597 0.8603 0.3885  7 Si 2.28-2.47
7 Si 0.3426 0.3426 0.5889  3 Co 2.30-2.49, 4 Fe 2.33-2.47
8 Si 0.1591 0.8433 0.9063  3 Fe 2.28-2.47, 4 Co 2.32-2.49

Computed properties:
space-group type	P2_1, No. 4
uncorrected formation energy	-2.2	eV per formula unit
total magnetization	1.03	μB/f.u.

A relaxed structure of CsSmBe2Br8, computed with GGA-PBE.

abc: 6.7057 6.7057 11.3567
angles: 72.83 72.83 60.00
Last column: nearest neighbours and their distance in Å.
Atoms (fractional coordinates):
1 Be 0.7439 0.7439 0.7683  4 Br 2.12-2.24
2 Br 0.7164 0.0355 0.8397  1 Be 2.24
3 Br 0.2836 0.9645 0.1603  1 Be 2.24
4 Cs 0.5000 0.5000 0.5000  12 Br 3.94-4.29
5 Br 0.4084 0.7164 0.8397  1 Be 2.24
6 Br 0.8100 0.8100 0.5701  1 Be 2.12
7 Be 0.2561 0.2561 0.2317  4 Br 2.12-2.24
8 Br 0.0355 0.4084 0.8397  1 Be 2.24
9 Sm 0.0000 0.0000 0.0000  6 Br 2.89
10 Br 0.5916 0.2836 0.1603  1 Be 2.24
11 Br 0.1900 0.1900 0.4299  1 Be 2.12
12 Br 0.9645 0.5916 0.1603  1 Be 2.24

Computed properties:
space-group type	R-3, No. 148
uncorrected formation energy	-17.0	eV per formula unit
total magnetization	0.00	μB/f.u.

A relaxed structure of Ba3Sb3Au8, computed with GGA-PBE.

abc: 4.9401 9.1711 9.1711
angles: 68.11 74.38 74.38
Last column: nearest neighbours and their distance in Å.
Atoms (fractional coordinates):
1 Ba 0.5000 0.5000 0.5000  12 Au 3.52-3.70, 4 Sb 3.83
2 Au 0.3611 0.9209 0.3568  3 Au 2.91-2.94, 3 Sb 3.00-3.18
3 Ba 0.2014 0.7986 0.7986  12 Au 3.43-3.77, 4 Sb 3.64-3.80
4 Au 0.6389 0.6432 0.0791  3 Au 2.91-2.94, 3 Sb 3.00-3.18
5 Sb 0.5000 0.0000 0.0000  4 Au 3.00, 4 Sb 3.32
6 Ba 0.7986 0.2014 0.2014  12 Au 3.43-3.77, 4 Sb 3.64-3.80
7 Au 0.6389 0.0791 0.6432  3 Au 2.91-2.94, 3 Sb 3.00-3.18
8 Au 0.8350 0.8020 0.5281  4 Au 2.81-2.94, 1 Sb 2.81
9 Au 0.8350 0.5281 0.8020  4 Au 2.81-2.94, 1 Sb 2.81
10 Au 0.1650 0.1980 0.4719  4 Au 2.81-2.94, 1 Sb 2.81
11 Sb 0.0000 0.2155 0.7845  2 Au 2.81
12 Au 0.1650 0.4719 0.1980  4 Au 2.81-2.94, 1 Sb 2.81
13 Sb 0.0000 0.7845 0.2155  2 Au 2.81
14 Au 0.3611 0.3568 0.9209  3 Au 2.91-2.94, 3 Sb 3.00-3.18

Computed properties:
space-group type	Immm, No. 71
uncorrected formation energy	-7.0	eV per formula unit
total magnetization	0.00	μB/f.u.

A relaxed structure of La2RuSe, computed with GGA-PBE.

abc: 5.2004 5.2004 3.5876
angles: 89.93 89.93 89.99
Last column: nearest neighbours and their distance in Å.
Atoms (fractional coordinates):
1 La 0.0000 0.0000 0.0000  4 Se 3.16, 4 Ru 3.16
2 Se 0.0000 0.5000 0.5000  8 La 3.16
3 Ru 0.5000 0.0000 0.5000  8 La 3.16
4 La 0.5000 0.5000 0.0000  4 Ru 3.16, 4 Se 3.16

Computed properties:
space-group type	C2/m, No. 12
uncorrected formation energy	-3.4	eV per formula unit
total magnetization	0.00	μB/f.u.